(1)
! Ac2LaZn | Alexandria via LeMat-Bulk | PBE | relaxed; values from VASP
! VASP energy ... -13.3 eV per cell
! V ... 40.30 Å³ per atom
! Crystal system ... trigonal
! N(E_F) ... 1.386 states/eV per atom
&SYSTEM
  ibrav = 0, nat = 4, ntyp = 3
/
ATOMIC_SPECIES
Ac 227.00 Ac.upf
La 138.91 La.upf
Zn 65.41 Zn.upf
ATOMIC_POSITIONS angstrom
Ac 0.000 0.000 3.275
Ac 0.000 0.000 34.877
La 0.000 0.000 19.076
Zn 0.000 0.000 0.000
CELL_PARAMETERS angstrom
1.913 1.104 12.717
-1.913 1.104 12.717
0.000 -2.209 12.717

(2)
! Mn2PdPt3 | Alexandria via LeMat-Bulk | PBE | relaxed; values from VASP
! VASP energy ... -87.2 eV per cell
! V ... 15.14 Å³ per atom
! Crystal system ... orthorhombic
! N(E_F) ... 0.932 states/eV per atom
&SYSTEM
  ibrav = 0, nat = 12, ntyp = 3
/
ATOMIC_SPECIES
Mn 54.94 Mn.upf
Pd 106.42 Pd.upf
Pt 195.08 Pt.upf
ATOMIC_POSITIONS angstrom
Mn 0.000 1.300 0.000
Mn 0.000 6.997 2.762
Mn 1.982 2.846 1.601
Mn 1.982 5.451 4.363
Pd 1.982 0.105 1.351
Pd 1.982 8.192 4.112
Pt 0.000 1.431 2.797
Pt 0.000 4.048 0.236
Pt 0.000 4.249 2.998
Pt 0.000 6.866 0.035
Pt 1.982 2.708 4.329
Pt 1.982 5.588 1.567
CELL_PARAMETERS angstrom
3.965 0.000 0.000
0.000 8.297 0.000
0.000 0.000 5.523